The following is a GGA-PBE calculation of Li2ReRh after structural relaxation, from the Alexandria database.

Cell: 5.0418 5.0418 2.6104 Å, 90.00 90.00 121.57°
Element x y z (fractional)
Li1 0.0000 0.0000 0.0000
Li2 0.5000 0.5000 0.0000
Rh1 0.0000 0.5000 0.5000
Re1 0.5000 0.0000 0.5000

Summary:
**Relative energy among the computed polymorphs**: 0.154 eV/atom
**ΔH_f (0 K)**: 210 meV per atom
**Magnetization**: 0.000 μB/f.u.
**Uncorrected energy**: -5.70 eV/atom
**Mass density**: 8.90 g/cm3


The following is a GGA-PBE calculation of Li5Re3Rh12 after structural relaxation, from the Alexandria database.

Cell: 12.0350 12.0350 12.0350 Å, 109.47 109.47 109.47°
Element x y z (fractional)
Re1 0.7500 0.3750 0.1250
Rh1 0.9068 0.0738 0.6319
Li1 0.0000 0.5000 0.5000
Li2 0.0000 0.0000 0.0000
Rh2 0.8681 0.2749 0.4419
Rh3 0.5738 0.6319 0.4068
Li3 0.5000 0.0000 0.5000
Li4 0.3750 0.2500 0.1250
Re2 0.1250 0.2500 0.8750
Li5 0.6250 0.8750 0.2500
Li6 0.7500 0.6250 0.3750
Re3 0.6250 0.3750 0.7500
Li7 0.5000 0.5000 0.5000
Re4 0.3750 0.6250 0.2500
Re5 0.7500 0.8750 0.6250
Rh4 0.7251 0.5932 0.1670
Rh5 0.6670 0.4419 0.5738
Li8 0.2500 0.3750 0.6250
Rh6 0.9262 0.0932 0.8681
Rh7 0.4068 0.1319 0.5738
Rh8 0.4262 0.3681 0.5932
Rh9 0.3330 0.5581 0.4262
Rh10 0.1319 0.4068 0.0738
Rh11 0.9419 0.3681 0.2749
Li9 0.7500 0.1250 0.8750
Rh12 0.6319 0.0581 0.2251
Rh13 0.5932 0.8681 0.4262
Li10 0.0000 0.5000 0.0000
Rh14 0.4262 0.0581 0.3330
Rh15 0.1670 0.0932 0.7251
Li11 0.1250 0.7500 0.3750
Rh16 0.4419 0.7749 0.8681
Rh17 0.0738 0.9068 0.1319
Re6 0.1250 0.8750 0.7500
Rh18 0.3681 0.4262 0.0932
Li12 0.5000 0.5000 0.0000
Rh19 0.8330 0.9068 0.2749
Rh20 0.5581 0.2251 0.1319
Li13 0.0000 0.0000 0.5000
Rh21 0.2251 0.5581 0.6319
Re7 0.8750 0.1250 0.2500
Rh22 0.6319 0.5738 0.9068
Rh23 0.9068 0.8330 0.7749
Rh24 0.2749 0.8681 0.9419
Re8 0.3750 0.7500 0.6250
Rh25 0.8681 0.5932 0.9262
Rh26 0.1319 0.7251 0.5581
Rh27 0.3681 0.9419 0.7749
Rh28 0.7749 0.3330 0.9068
Rh29 0.8330 0.9262 0.0581
Li14 0.2500 0.8750 0.1250
Li15 0.1250 0.3750 0.2500
Rh30 0.5932 0.7251 0.6670
Li16 0.8750 0.6250 0.7500
Rh31 0.9262 0.8330 0.5581
Re9 0.8750 0.7500 0.1250
Rh32 0.2749 0.4068 0.8330
Re10 0.6250 0.2500 0.3750
Rh33 0.5738 0.9419 0.6670
Rh34 0.3330 0.7749 0.4068
Li17 0.3750 0.1250 0.7500
Rh35 0.0581 0.6319 0.7251
Rh36 0.7749 0.4419 0.3681
Rh37 0.0581 0.4262 0.8330
Rh38 0.0932 0.9262 0.3681
Li18 0.8750 0.2500 0.6250
Rh39 0.5581 0.3330 0.9262
Rh40 0.6670 0.2251 0.5932
Re11 0.2500 0.6250 0.8750
Rh41 0.2251 0.6670 0.0932
Rh42 0.7251 0.1319 0.0581
Rh43 0.0932 0.1670 0.2251
Rh44 0.4068 0.2749 0.3330
Re12 0.2500 0.1250 0.3750
Rh45 0.1670 0.0738 0.9419
Li19 0.6250 0.7500 0.8750
Li20 0.5000 0.0000 0.0000
Rh46 0.4419 0.6670 0.0738
Rh47 0.0738 0.1670 0.4419
Rh48 0.9419 0.5738 0.1670

Summary:
**ΔH_f (0 K)**: 666 meV per atom
**Magnetization**: 0.000 μB/f.u.
**Uncorrected energy**: -6.09 eV/atom
**Mass density**: 9.05 g/cm3


The following is a GGA-PBE calculation of LiRe2Rh after structural relaxation, from the Alexandria database.

Cell: 4.2428 3.6372 3.6372 Å, 90.00 90.00 90.00°
Element x y z (fractional)
Rh1 0.5000 0.5000 0.0000
Li1 0.5000 0.0000 0.5000
Re1 0.0000 0.0000 0.0000
Re2 0.0000 0.5000 0.5000

Summary:
**Relative energy among the computed polymorphs**: 0.171 eV/atom
**ΔH_f (0 K)**: 230 meV per atom
**Magnetization**: 0.000 μB/f.u.
**Uncorrected energy**: -8.31 eV/atom
**Mass density**: 14.27 g/cm3


The following is a GGA-PBE calculation of LiRe2Rh after structural relaxation, from the Alexandria database.

Cell: 4.9440 4.9440 4.9440 Å, 136.91 136.91 62.58°
Element x y z (fractional)
Re1 0.0000 0.0000 0.0000
Re2 0.5000 0.5000 0.0000
Li1 0.7500 0.2500 0.5000
Rh1 0.2500 0.7500 0.5000

Summary:
**Relative energy among the computed polymorphs**: 0.069 eV/atom
**ΔH_f (0 K)**: 129 meV per atom
**Magnetization**: 0.000 μB/f.u.
**Uncorrected energy**: -8.41 eV/atom
**Mass density**: 14.37 g/cm3


The following is a GGA-PBE calculation of LiRe2Rh after structural relaxation, from the Alexandria database.

Cell: 9.0834 9.0834 9.0834 Å, 17.48 17.48 17.48°
Element x y z (fractional)
Re1 0.9965 0.9965 0.9965
Rh1 0.5013 0.5013 0.5013
Li1 0.7526 0.7526 0.7526
Re2 0.2495 0.2495 0.2495

Summary:
**Relative energy among the computed polymorphs**: 0.017 eV/atom
**ΔH_f (0 K)**: 77 meV per atom
**Magnetization**: 0.000 μB/f.u.
**Uncorrected energy**: -8.46 eV/atom
**Mass density**: 13.58 g/cm3


The following is a GGA-PBE calculation of LiRe2Rh after structural relaxation, from the Alexandria database.

Cell: 2.7166 3.8553 5.3588 Å, 90.00 90.00 90.00°
Element x y z (fractional)
Re1 0.5000 0.5000 0.2372
Li1 0.5000 0.5000 0.7357
Rh1 0.0000 0.0000 0.5269
Re2 0.0000 0.0000 0.0003

Summary:
**Relative energy among the computed polymorphs**: 0.048 eV/atom
**ΔH_f (0 K)**: 108 meV per atom
**Magnetization**: 0.004 μB/f.u.
**Uncorrected energy**: -8.43 eV/atom
**Mass density**: 14.27 g/cm3


Which value of uncorrected energy does entry 6 give? -8.43 eV/atom